(1)
A plane-wave DFT calculation with GGA-PBE was carried out for an optimized crystal structure of Y2AlAgH.

Computed properties:
The calculated total energy comes out at -4.9123 eV/atom. The volume is 19.3 Å³ per atom. The magnetic moment is 0.089 μB per atom.

Unit cell a=4.858 b=4.858 c=4.098 alpha=90.00 beta=90.00 gamma=90.00
Space group P4/mmm (No. 123)
Asymmetric unit:
Y 0.000 0.500 0.000 (multiplicity 2)
Al 0.000 0.000 0.500 (multiplicity 1)
Ag 0.500 0.500 0.500 (multiplicity 1)
H 0.500 0.500 0.000 (multiplicity 1)

***

(2)
A plane-wave DFT calculation with GGA-PBE was carried out for an optimized crystal structure of Al2ZnAgH.

Computed properties:
The calculated total energy comes out at -2.5365 eV/atom. The volume is 17.7 Å³ per atom. The magnetic moment is 0.000 μB per atom.

Unit cell a=5.125 b=5.125 c=3.361 alpha=90.00 beta=90.00 gamma=90.00
Space group P4/mmm (No. 123)
Asymmetric unit:
Al 0.000 0.500 0.000 (multiplicity 2)
Zn 0.000 0.000 0.500 (multiplicity 1)
Ag 0.500 0.500 0.000 (multiplicity 1)
H 0.500 0.500 0.500 (multiplicity 1)